# 1
An optimized crystal structure of NdLu3, computed with GGA-PBE.

Energy relative to the elements in eV per formula unit: 0.15
E above lowest polymorph in eV per atom: 0.0274
Total energy in eV/cell: -18.2
Crystal system: tetragonal
Density of states at the Fermi level in states/eV/atom: 1.619

Cell lengths 6.054, 6.054, 6.054 Å; angles 131.21, 131.21, 71.48 degrees
Sites, in units of the cell vectors:
Nd1 0.000 0.000 0.000
Lu1 0.250 0.750 0.500
Lu2 0.500 0.500 0.000
Lu3 0.750 0.250 0.500


# 2
An optimized crystal structure of Na3AgSb2, computed with GGA-PBE.

Total energy in eV/cell: -32.9
Crystal system: orthorhombic
Energy relative to the elements, uncorrected in kJ/mol of atoms: -22.9
Density of states at the Fermi level in states/eV/atom: 0.366

Cell lengths 9.682, 9.682, 9.682 Å; angles 143.01, 53.16, 143.21 degrees
Sites, in units of the cell vectors:
Na1 0.187 0.204 0.391
Na2 0.250 0.250 0.000
Na3 0.313 0.704 0.017
Na4 0.687 0.296 0.983
Na5 0.750 0.750 0.000
Na6 0.813 0.796 0.609
Ag1 0.250 0.750 0.500
Ag2 0.750 0.250 0.500
Sb1 0.123 0.696 0.819
Sb2 0.377 0.196 0.573
Sb3 0.623 0.804 0.427
Sb4 0.877 0.304 0.181


# 3
An optimized crystal structure of Li2ZnHg2, computed with GGA-PBE.

Energy relative to the elements in eV per formula unit: -0.85
E above lowest polymorph in eV per atom: 0.0424
Total energy in eV/cell: -13.1
Crystal system: tetragonal
Density of states at the Fermi level in states/eV/atom: 0.369

Cell lengths 7.389, 7.389, 3.382 Å; angles 90.00, 90.00, 90.00 degrees
Sites, in units of the cell vectors:
Li1 0.140 0.360 0.000
Li2 0.360 0.860 0.000
Li3 0.640 0.140 0.000
Li4 0.860 0.640 0.000
Zn1 0.000 0.000 0.000
Zn2 0.500 0.500 0.000
Hg1 0.158 0.658 0.500
Hg2 0.342 0.158 0.500
Hg3 0.658 0.842 0.500
Hg4 0.842 0.342 0.500


# 4
An optimized crystal structure of Sm12Tl6Cu, computed with GGA-PBE.

Energy relative to the elements in eV per formula unit: -2.76
Total energy in eV/cell: -77.7
Crystal system: trigonal
Density of states at the Fermi level in states/eV/atom: 1.072

Cell lengths 8.423, 8.423, 8.423 Å; angles 93.25, 93.25, 93.25 degrees
Sites, in units of the cell vectors:
Sm1 0.046 0.699 0.937
Sm2 0.063 0.954 0.301
Sm3 0.174 0.514 0.401
Sm4 0.301 0.063 0.954
Sm5 0.401 0.174 0.514
Sm6 0.486 0.599 0.826
Sm7 0.514 0.401 0.174
Sm8 0.599 0.826 0.486
Sm9 0.699 0.937 0.046
Sm10 0.826 0.486 0.599
Sm11 0.937 0.046 0.699
Sm12 0.954 0.301 0.063
Tl1 0.171 0.363 0.765
Tl2 0.235 0.829 0.637
Tl3 0.363 0.765 0.171
Tl4 0.637 0.235 0.829
Tl5 0.765 0.171 0.363
Tl6 0.829 0.637 0.235
Cu1 0.500 0.500 0.500


# 5
An optimized crystal structure of Sm5Ho3In, computed with GGA-PBE.

Energy relative to the elements in eV per formula unit: 3.47
Total energy in eV/cell: -73.2
Crystal system: monoclinic
Density of states at the Fermi level in states/eV/atom: 1.347

Cell lengths 7.896, 7.896, 11.411 Å; angles 95.18, 95.18, 60.40 degrees
Sites, in units of the cell vectors:
Sm1 0.009 0.009 0.371
Sm2 0.160 0.587 0.246
Sm3 0.169 0.831 0.000
Sm4 0.262 0.262 0.963
Sm5 0.413 0.840 0.754
Sm6 0.587 0.160 0.246
Sm7 0.738 0.738 0.037
Sm8 0.831 0.169 0.000
Sm9 0.840 0.413 0.754
Sm10 0.991 0.991 0.629
Ho1 0.168 0.168 0.216
Ho2 0.242 0.242 0.524
Ho3 0.500 0.500 0.000
Ho4 0.500 0.500 0.500
Ho5 0.758 0.758 0.476
Ho6 0.832 0.832 0.784
In1 0.404 0.404 0.742
In2 0.596 0.596 0.258


# 6
An optimized crystal structure of BeTlPt2, computed with GGA-PBE.

Energy relative to the elements in eV per formula unit: -1.18
E above lowest polymorph in eV per atom: 0.0000
Total energy in eV/cell: -19.4
Crystal system: monoclinic
Density of states at the Fermi level in states/eV/atom: 0.294

Cell lengths 2.922, 2.895, 7.706 Å; angles 90.00, 100.31, 90.00 degrees
Sites, in units of the cell vectors:
Be1 0.000 0.000 0.000
Tl1 0.000 0.000 0.500
Pt1 0.400 0.500 0.818
Pt2 0.600 0.500 0.182